VASP calculation (PBE) on a relaxed YTl2Cr crystal.

extended XYZ file:
```
4
Lattice="-3.357 0.017 -1.389 -1.390 -0.074 3.358 -0.025 7.244 0.149" Properties=species:S:1:pos:R:3 pbc="T T T"
Cr -2.393 5.405 1.096
Tl -0.025 7.039 0.145
Tl -0.013 3.828 0.079
Y -2.380 1.782 1.022
```

Summary:
* electronic total energy: -20.4 eV/f.u.